12
Lattice="-1.706 -2.729 -1.591 4.501 -5.086 3.899 -5.604 0.289 5.513" Properties=species:S:1:pos:R:3 comment="LaPmTaN3, optimized geometry, DFT PBE" magmom_total_mub_per_fu=0.37 total_energy_ev_per_atom=-8.818 formation_energy_uncorrected_kj_per_mol_fu=-617.9 pbc="T T T"
La -2.237 -6.037 6.680
La -0.573 -1.488 1.142
Pm 1.373 -3.733 2.906
Pm -4.183 -3.792 4.915
Ta -3.249 -1.076 3.306
Ta 0.440 -6.449 4.516
N 0.450 -4.789 5.709
N 1.778 -6.462 3.104
N -0.248 -3.966 0.996
N -3.259 -2.736 2.113
N -2.561 -3.559 6.826
N -4.587 -1.063 4.718